First-principles (PBE) data for crystalline AcErH6Ir2 at its relaxed geometry, as listed in Alexandria.

crystal system: monoclinic
total magnetization: 0.00 μB/f.u.
V: 484 Å³/cell
E_tot: -0.379 Ry per atom

Geometry as CIF:
```
data_AcErH6Ir2
_cell_length_a 8.8314
_cell_length_b 8.5224
_cell_length_c 7.0524
_cell_angle_alpha 90.00
_cell_angle_beta 114.22
_cell_angle_gamma 90.00
_symmetry_space_group_name_H-M 'C 1 2/c 1'
_symmetry_Int_Tables_number 15
loop_
_symmetry_equiv_pos_as_xyz
'x,y,z'
'-x,-y,-z'
'-x,y,-z+1/2'
'x,-y,z+1/2'
'x+1/2,y+1/2,z'
'-x+1/2,-y+1/2,-z'
'-x+1/2,y+1/2,-z+1/2'
'x+1/2,-y+1/2,z+1/2'
loop_
_atom_site_label
_atom_site_fract_x
_atom_site_fract_y
_atom_site_fract_z
_atom_site_occupancy
Ac1 0.0000 0.1171 0.2500 1
Er1 0.0000 0.4076 0.7500 1
H1 0.0268 0.3717 0.0700 1
H2 0.0647 0.1755 0.6635 1
H3 0.2365 0.4385 0.3929 1
Ir1 0.2349 0.3424 0.1867 1
```

=====

First-principles (PBE) data for crystalline AcErNi2H8 at its relaxed geometry, as listed in Alexandria.

crystal system: trigonal
total magnetization: 0.00 μB/f.u.
V: 361 Å³/cell
E_tot: -0.310 Ry per atom

Geometry as CIF:
```
data_AcErNi2H8
_cell_length_a 4.4580
_cell_length_b 4.4580
_cell_length_c 20.9675
_cell_angle_alpha 90.00
_cell_angle_beta 90.00
_cell_angle_gamma 120.00
_symmetry_space_group_name_H-M 'R -3 m'
_symmetry_Int_Tables_number 166
_symmetry_space_group_name_Hall '-R 3 2"'
loop_
_atom_site_label
_atom_site_fract_x
_atom_site_fract_y
_atom_site_fract_z
_atom_site_occupancy
Ac1 0.0000 0.0000 0.0000 1
Er1 0.0000 0.0000 0.5000 1
Ni1 0.0000 0.0000 0.2461 1
H1 0.0000 0.0000 0.3222 1
H2 0.0383 0.5191 0.5513 1
```